No. 1
A relaxed SmZr6P9O36 crystal, computed with GGA-PBEsol.

Cell and atoms, written as POSCAR:
```
SmZr6P9O36
1.0
8.874 0.000 0.000
-4.437 7.685 0.000
0.000 0.000 22.745
Sm Zr P O
2 12 18 72
direct
0.000 0.000 0.000
0.000 0.000 0.500
0.000 0.000 0.149
0.000 0.000 0.351
0.000 0.000 0.649
0.000 0.000 0.851
0.333 0.667 0.030
0.333 0.667 0.312
0.333 0.667 0.530
0.333 0.667 0.812
0.667 0.333 0.188
0.667 0.333 0.470
0.667 0.333 0.688
0.667 0.333 0.970
0.000 0.291 0.250
0.000 0.709 0.750
0.055 0.376 0.921
0.055 0.679 0.421
0.291 0.000 0.250
0.291 0.291 0.750
0.321 0.376 0.421
0.321 0.945 0.921
0.376 0.055 0.579
0.376 0.321 0.079
0.624 0.679 0.921
0.624 0.945 0.421
0.679 0.055 0.079
0.679 0.624 0.579
0.709 0.000 0.750
0.709 0.709 0.250
0.945 0.321 0.579
0.945 0.624 0.079
0.021 0.183 0.920
0.021 0.838 0.420
0.030 0.203 0.196
0.030 0.827 0.696
0.122 0.488 0.577
0.122 0.633 0.077
0.152 0.469 0.865
0.152 0.684 0.365
0.160 0.468 0.260
0.160 0.692 0.760
0.162 0.183 0.420
0.162 0.459 0.977
0.162 0.703 0.477
0.162 0.979 0.920
0.173 0.203 0.696
0.173 0.970 0.196
0.183 0.021 0.580
0.183 0.162 0.080
0.203 0.030 0.304
0.203 0.173 0.804
0.297 0.459 0.477
0.297 0.838 0.977
0.308 0.468 0.760
0.308 0.840 0.260
0.316 0.469 0.365
0.316 0.848 0.865
0.367 0.488 0.077
0.367 0.878 0.577
0.459 0.162 0.523
0.459 0.297 0.023
0.468 0.160 0.240
0.468 0.308 0.740
0.469 0.152 0.635
0.469 0.316 0.135
0.488 0.122 0.923
0.488 0.367 0.423
0.512 0.633 0.577
0.512 0.878 0.077
0.531 0.684 0.865
0.531 0.848 0.365
0.532 0.692 0.260
0.532 0.840 0.760
0.541 0.703 0.977
0.541 0.838 0.477
0.633 0.122 0.423
0.633 0.512 0.923
0.684 0.152 0.135
0.684 0.531 0.635
0.692 0.160 0.740
0.692 0.532 0.240
0.703 0.162 0.023
0.703 0.541 0.523
0.797 0.827 0.196
0.797 0.970 0.696
0.817 0.838 0.920
0.817 0.979 0.420
0.827 0.030 0.804
0.827 0.797 0.304
0.838 0.021 0.080
0.838 0.297 0.523
0.838 0.541 0.023
0.838 0.817 0.580
0.840 0.308 0.240
0.840 0.532 0.740
0.848 0.316 0.635
0.848 0.531 0.135
0.878 0.367 0.923
0.878 0.512 0.423
0.970 0.173 0.304
0.970 0.797 0.804
0.979 0.162 0.580
0.979 0.817 0.080
```

The calculation puts the total energy at -8.5849 eV/atom. The value obtained for the formation energy (no corrections) is -270 kJ/mol of atoms. The space group is P-3c1. The total magnetization is 0.00 μB per formula unit. The value obtained for the volume is 1551.1 Å³/cell.

No. 2
A relaxed Sn4P2O9 crystal, computed with GGA-PBEsol.

Cell and atoms, written as POSCAR:
```
Sn4P2O9
1.0
10.241 0.000 0.000
0.000 6.786 0.000
0.000 0.000 12.663
Sn P O
16 8 36
direct
0.014 0.250 0.116
0.139 0.516 0.662
0.139 0.984 0.662
0.197 0.750 0.384
0.303 0.250 0.884
0.361 0.016 0.162
0.361 0.484 0.162
0.486 0.750 0.616
0.514 0.250 0.384
0.639 0.516 0.838
0.639 0.984 0.838
0.697 0.750 0.116
0.803 0.250 0.616
0.861 0.016 0.338
0.861 0.484 0.338
0.986 0.750 0.884
0.063 0.750 0.136
0.148 0.250 0.435
0.352 0.750 0.935
0.437 0.250 0.636
0.563 0.750 0.364
0.648 0.250 0.065
0.852 0.750 0.565
0.937 0.250 0.864
0.005 0.750 0.248
0.051 0.250 0.948
0.084 0.061 0.390
0.084 0.439 0.390
0.116 0.250 0.559
0.144 0.559 0.118
0.144 0.941 0.118
0.174 0.750 0.547
0.205 0.750 0.915
0.295 0.250 0.415
0.326 0.250 0.047
0.356 0.059 0.618
0.356 0.441 0.618
0.384 0.750 0.059
0.416 0.561 0.890
0.416 0.939 0.890
0.449 0.750 0.448
0.495 0.250 0.748
0.505 0.750 0.252
0.551 0.250 0.552
0.584 0.061 0.110
0.584 0.439 0.110
0.616 0.250 0.941
0.644 0.559 0.382
0.644 0.941 0.382
0.674 0.750 0.953
0.705 0.750 0.585
0.795 0.250 0.085
0.826 0.250 0.453
0.856 0.059 0.882
0.856 0.441 0.882
0.884 0.750 0.441
0.916 0.561 0.610
0.916 0.939 0.610
0.949 0.750 0.052
0.995 0.250 0.752
```

The calculation puts the total energy at -6.7688 eV/atom. The value obtained for the formation energy (no corrections) is -165 kJ/mol of atoms. The space group is Pnma. The total magnetization is 0.00 μB per formula unit. For the distance to the lowest polymorph of the same formula, the calculation gives 69 meV per atom. The value obtained for the volume is 880.0 Å³/cell.

No. 3
A relaxed Sn2P5O15 crystal, computed with GGA-PBEsol.

Cell and atoms, written as POSCAR:
```
Sn2P5O15
1.0
5.386 0.000 0.000
0.000 9.233 0.000
-5.343 0.000 12.442
Sn P O
4 10 30
direct
0.000 0.208 0.000
0.000 0.792 0.500
0.622 0.209 0.341
0.622 0.791 0.841
0.028 0.029 0.780
0.028 0.971 0.280
0.279 0.306 0.500
0.279 0.694 0.000
0.312 0.487 0.172
0.312 0.513 0.672
0.338 0.300 0.839
0.338 0.700 0.339
0.541 0.018 0.580
0.541 0.982 0.080
0.002 0.043 0.887
0.002 0.957 0.387
0.068 0.406 0.097
0.068 0.594 0.597
0.101 0.116 0.251
0.101 0.884 0.751
0.201 0.413 0.743
0.201 0.587 0.243
0.215 0.323 0.920
0.215 0.677 0.420
0.239 0.150 0.775
0.239 0.850 0.275
0.322 0.145 0.548
0.322 0.855 0.048
0.405 0.114 0.103
0.405 0.886 0.603
0.417 0.399 0.608
0.417 0.601 0.108
0.445 0.331 0.435
0.445 0.669 0.935
0.557 0.406 0.243
0.557 0.594 0.743
0.640 0.306 0.877
0.640 0.694 0.377
0.672 0.001 0.501
0.672 0.999 0.001
0.749 0.087 0.691
0.749 0.913 0.191
0.982 0.332 0.452
0.982 0.668 0.952
```

The calculation puts the total energy at -7.2446 eV/atom. The value obtained for the formation energy (no corrections) is -189 kJ/mol of atoms. The space group is Pc. The total magnetization is 1.04 μB per formula unit. The value obtained for the volume is 618.8 Å³/cell.

No. 4
A relaxed SnP2O6 crystal, computed with GGA-PBEsol.

Cell and atoms, written as POSCAR:
```
SnP2O6
1.0
6.691 -4.589 0.000
6.691 4.589 0.000
-5.900 0.000 9.532
Sn P O
4 8 24
direct
0.000 0.500 0.500
0.006 0.994 0.750
0.500 0.000 0.000
0.994 0.006 0.250
0.281 0.699 0.456
0.290 0.338 0.826
0.301 0.719 0.044
0.338 0.290 0.326
0.662 0.710 0.674
0.699 0.281 0.956
0.710 0.662 0.174
0.719 0.301 0.544
0.148 0.815 0.108
0.165 0.400 0.703
0.177 0.254 0.340
0.185 0.852 0.392
0.211 0.694 0.558
0.254 0.177 0.840
0.287 0.503 0.329
0.292 0.501 0.974
0.306 0.789 0.942
0.400 0.165 0.203
0.497 0.713 0.171
0.499 0.708 0.526
0.501 0.292 0.474
0.503 0.287 0.829
0.600 0.835 0.797
0.694 0.211 0.058
0.708 0.499 0.026
0.713 0.497 0.671
0.746 0.823 0.160
0.789 0.306 0.442
0.815 0.148 0.608
0.823 0.746 0.660
0.835 0.600 0.297
0.852 0.185 0.892
```

The calculation puts the total energy at -7.2114 eV/atom. The value obtained for the formation energy (no corrections) is -188 kJ/mol of atoms. The space group is C2/c. The total magnetization is 0.00 μB per formula unit. For the distance to the lowest polymorph of the same formula, the calculation gives 17 meV per atom. The value obtained for the volume is 585.3 Å³/cell.

No. 5
A relaxed Sn3P4O14 crystal, computed with GGA-PBEsol.

Cell and atoms, written as POSCAR:
```
Sn3P4O14
1.0
8.663 0.000 0.000
0.000 8.911 0.000
-2.357 0.000 8.026
Sn P O
6 8 28
direct
0.000 0.000 0.000
0.000 0.500 0.500
0.253 0.080 0.638
0.253 0.420 0.138
0.747 0.580 0.862
0.747 0.920 0.362
0.133 0.699 0.837
0.133 0.801 0.337
0.353 0.017 0.278
0.353 0.483 0.778
0.647 0.517 0.222
0.647 0.983 0.722
0.867 0.199 0.663
0.867 0.301 0.163
0.001 0.661 0.673
0.001 0.839 0.173
0.120 0.607 0.985
0.120 0.893 0.485
0.129 0.632 0.368
0.129 0.868 0.868
0.217 0.081 0.129
0.217 0.419 0.629
0.301 0.657 0.801
0.301 0.843 0.301
0.357 0.106 0.434
0.357 0.394 0.934
0.490 0.511 0.266
0.490 0.989 0.766
0.510 0.011 0.234
0.510 0.489 0.734
0.643 0.606 0.066
0.643 0.894 0.566
0.699 0.157 0.699
0.699 0.343 0.199
0.783 0.581 0.371
0.783 0.919 0.871
0.871 0.132 0.132
0.871 0.368 0.632
0.880 0.107 0.515
0.880 0.393 0.015
0.999 0.161 0.827
0.999 0.339 0.327
```

The calculation puts the total energy at -7.1743 eV/atom. The value obtained for the formation energy (no corrections) is -189 kJ/mol of atoms. The space group is P2_1/c. The total magnetization is 0.00 μB per formula unit. For the distance to the lowest polymorph of the same formula, the calculation gives 0 meV per atom. The value obtained for the volume is 619.6 Å³/cell.

No. 6
A relaxed Sn4P3O12 crystal, computed with GGA-PBEsol.

Cell and atoms, written as POSCAR:
```
Sn4P3O12
1.0
9.594 0.000 0.000
-4.797 8.309 0.000
0.000 0.000 6.896
Sn P O
8 6 24
direct
0.025 0.258 0.000
0.233 0.975 0.000
0.258 0.233 0.500
0.333 0.667 0.685
0.667 0.333 0.185
0.742 0.767 0.000
0.767 0.025 0.500
0.975 0.742 0.500
0.022 0.610 0.974
0.390 0.412 0.974
0.412 0.022 0.474
0.588 0.978 0.974
0.610 0.588 0.474
0.978 0.390 0.474
0.069 0.713 0.785
0.091 0.734 0.141
0.107 0.508 0.957
0.162 0.498 0.492
0.266 0.357 0.141
0.287 0.356 0.785
0.337 0.838 0.492
0.356 0.069 0.285
0.357 0.091 0.641
0.401 0.893 0.957
0.492 0.599 0.957
0.498 0.337 0.992
0.502 0.663 0.492
0.508 0.401 0.457
0.599 0.107 0.457
0.643 0.909 0.141
0.644 0.931 0.785
0.663 0.162 0.992
0.713 0.644 0.285
0.734 0.643 0.641
0.838 0.502 0.992
0.893 0.492 0.457
0.909 0.266 0.641
0.931 0.287 0.285
```

The calculation puts the total energy at -6.9436 eV/atom. The value obtained for the formation energy (no corrections) is -175 kJ/mol of atoms. The space group is P6_3. The total magnetization is 1.00 μB per formula unit. For the distance to the lowest polymorph of the same formula, the calculation gives 0 meV per atom. The value obtained for the volume is 549.7 Å³/cell.

No. 7
A relaxed SnP2O6 crystal, computed with GGA-PBEsol.

Cell and atoms, written as POSCAR:
```
SnP2O6
1.0
4.620 -5.670 0.000
4.620 5.670 0.000
0.000 0.000 11.336
Sn P O
4 8 24
direct
0.046 0.594 0.553
0.406 0.954 0.947
0.594 0.046 0.447
0.954 0.406 0.053
0.085 0.085 0.500
0.203 0.361 0.313
0.361 0.203 0.687
0.403 0.597 0.750
0.597 0.403 0.250
0.639 0.797 0.187
0.797 0.639 0.813
0.915 0.915 0.000
0.032 0.323 0.238
0.110 0.880 0.990
0.120 0.890 0.510
0.173 0.209 0.610
0.209 0.173 0.390
0.242 0.528 0.392
0.318 0.641 0.636
0.323 0.032 0.762
0.355 0.376 0.774
0.359 0.682 0.864
0.376 0.355 0.226
0.472 0.758 0.108
0.528 0.242 0.608
0.624 0.645 0.726
0.641 0.318 0.364
0.645 0.624 0.274
0.677 0.968 0.262
0.682 0.359 0.136
0.758 0.472 0.892
0.791 0.827 0.890
0.827 0.791 0.110
0.880 0.110 0.010
0.890 0.120 0.490
0.968 0.677 0.738
```

The calculation puts the total energy at -7.2286 eV/atom. The value obtained for the formation energy (no corrections) is -190 kJ/mol of atoms. The space group is C222_1. The total magnetization is 0.00 μB per formula unit. For the distance to the lowest polymorph of the same formula, the calculation gives 0 meV per atom. The value obtained for the volume is 593.9 Å³/cell.

No. 8
A relaxed SnPO2 crystal, computed with GGA-PBEsol.

Cell and atoms, written as POSCAR:
```
SnPO2
1.0
0.000 2.906 2.906
2.906 0.000 2.906
2.906 2.906 0.000
Sn P O
1 1 2
direct
0.000 0.000 0.000
0.500 0.500 0.500
0.250 0.250 0.250
0.750 0.750 0.750
```

The calculation puts the total energy at -5.1041 eV/atom. The value obtained for the formation energy (no corrections) is 3 kJ/mol of atoms. The space group is Fm-3m. The total magnetization is 0.00 μB per formula unit. The value obtained for the volume is 49.1 Å³/cell.

Question: Among the records above, which one has the lowest formation energy (no corrections)?
Answer: SmZr6P9O36